Computed, not measured: BaAg2SnAs after structural relaxation at the PBE level of DFT.

Lattice parameters (Å, degrees): 6.6490 6.6490 6.6490 138.42 138.42 60.27
Fractional coordinates of all 5 atoms:
Ag 0.7485 0.2485 0.5000
Sn 0.3795 0.3795 0.0000
Ag 0.2485 0.7485 0.5000
As 0.6157 0.6157 0.0000
Ba 0.0078 0.0078 0.0000

Values from the calculation:
- Uncorrected energy: -18.53 eV/cell



Computed, not measured: BaSrAg2As2 after structural relaxation at the PBE level of DFT.

Lattice parameters (Å, degrees): 4.6115 4.6115 8.6036 90.00 90.00 120.00
Fractional coordinates of all 6 atoms:
Ba 0.0000 0.0000 0.5000
Ag 0.3333 0.6667 0.2313
Sr 0.0000 0.0000 0.0000
Ag 0.6667 0.3333 0.7687
As 0.6667 0.3333 0.2392
As 0.3333 0.6667 0.7608

Values from the calculation:
- Uncorrected energy: -23.34 eV/cell



Computed, not measured: BeAgAs2 after structural relaxation at the PBE level of DFT.

Lattice parameters (Å, degrees): 4.5757 4.5757 4.5757 60.00 60.00 60.00
Fractional coordinates of all 4 atoms:
Be 0.7500 0.7500 0.7500
As 0.2500 0.2500 0.2500
Ag 0.5000 0.5000 0.5000
As 0.0000 0.0000 0.0000

Values from the calculation:
- Uncorrected energy: -13.56 eV/cell



> Among the records above, which one has the lowest uncorrected energy?

BaSrAg2As2



> Which value of uncorrected energy does entry 1 give?

-18.53 eV/cell